[1]
Here is a relaxed structure of Tb6Si2Ni from the Open Quantum Materials Database. Energies are from PBE-GGA.

energy = -5.33 eV/atom
magnetic moment = 2.49 μB/cell

a b c (Å): 7.921 7.921 4.097
angles (deg): 90.00 90.00 120.00
Last column: magnetic moment on the atom in μB.
Fractional coordinates of all 9 atoms:
Tb: 0.413 0.413 0.500  0.25
Tb: 0.750 0.750 0.000  0.20
Tb: 0.000 0.587 0.500  0.32
Tb: 0.250 0.000 0.000  0.22
Tb: 0.000 0.250 0.000  0.28
Tb: 0.587 0.000 0.500  0.28
Si: 0.333 0.667 0.000  -0.01
Si: 0.667 0.333 0.000  -0.01
Ni: 0.000 0.000 0.500  0.08

[2]
Here is a relaxed structure of NaSmFeSe3 from the Open Quantum Materials Database. Energies are from PBE-GGA.

magnetic moment = 7.72 μB/cell
energy above the lowest structure with this stoichiometry = 1.2 meV/atom

a b c (Å): 8.125 4.048 9.819
angles (deg): 90.00 103.48 90.00
Last column: magnetic moment on the atom in μB.
Fractional coordinates of all 12 atoms:
Na: 0.241 0.250 0.279  0.00
Na: 0.759 0.750 0.721  0.00
Fe: 0.932 0.750 0.415  3.16
Fe: 0.068 0.250 0.585  3.16
Se: 0.437 0.750 0.159  0.03
Se: 0.766 0.250 0.460  0.15
Se: 0.563 0.250 0.841  0.03
Se: 0.049 0.250 0.828  0.11
Se: 0.234 0.750 0.540  0.15
Se: 0.951 0.750 0.172  0.11
Sm: 0.312 0.750 0.858  0.03
Sm: 0.688 0.250 0.142  0.03

[3]
Here is a relaxed structure of ThNp from the Open Quantum Materials Database. Energies are from PBE-GGA.

magnetic moment = 2.65 μB/cell
energy above the lowest structure with this stoichiometry = 695.9 meV/atom
E_form = 1149 meV/atom

a b c (Å): 4.191 4.191 4.191
angles (deg): 60.00 60.00 60.00
Last column: magnetic moment on the atom in μB.
Fractional coordinates of all 2 atoms:
Np: 0.000 0.000 0.000  2.61
Th: 0.500 0.500 0.500  0.07

[4]
Here is a relaxed structure of ErZr from the Open Quantum Materials Database. Energies are from PBE-GGA.

magnetic moment = 0.01 μB/cell
E_form = 38 meV/atom

a b c (Å): 5.854 9.012 5.330
angles (deg): 90.00 90.00 71.05
Fractional coordinates of all 10 atoms:
Zr: 0.690 0.986 0.500
Zr: 0.998 0.985 0.000
Zr: 0.183 0.615 0.000
Zr: 0.876 0.614 0.500
Zr: 0.259 0.800 0.500
Er: 0.810 0.408 0.000
Er: 0.585 0.800 0.000
Er: 0.418 0.192 0.000
Er: 0.066 0.183 0.500
Er: 0.449 0.417 0.500

[5]
Here is a relaxed structure of ZrBeCd from the Open Quantum Materials Database. Energies are from PBE-GGA.

magnetic moment = 0.00 μB/cell
energy above the lowest structure with this stoichiometry = 674.5 meV/atom

a b c (Å): 4.410 4.410 4.410
angles (deg): 60.00 60.00 60.00
Fractional coordinates of all 3 atoms:
Cd: 0.250 0.250 0.250
Zr: 0.000 0.000 0.000
Be: 0.500 0.500 0.500

[6]
Here is a relaxed structure of ZrZnCuIr from the Open Quantum Materials Database. Energies are from PBE-GGA.

magnetic moment = 0.00 μB/cell
energy above the lowest structure with this stoichiometry = 0.0 meV/atom
E_form = -393 meV/atom

a b c (Å): 4.469 4.469 4.469
angles (deg): 60.00 60.00 60.00
Fractional coordinates of all 4 atoms:
Ir: 0.250 0.250 0.250
Zn: 0.000 0.000 0.000
Cu: 0.750 0.750 0.750
Zr: 0.500 0.500 0.500

[7]
Here is a relaxed structure of BaIn2Cu from the Open Quantum Materials Database. Energies are from PBE-GGA.

energy = -2.85 eV/atom

a b c (Å): 5.347 5.347 5.347
angles (deg): 60.00 60.00 60.00
Fractional coordinates of all 4 atoms:
Cu: 0.250 0.250 0.250
Ba: 0.500 0.500 0.500
In: 0.750 0.750 0.750
In: 0.000 0.000 0.000

[8]
Here is a relaxed structure of LaPr2Cu4Si2Ge2 from the Open Quantum Materials Database. Energies are from PBE-GGA.

energy = -5.10 eV/atom
magnetic moment = 0.01 μB/cell

a b c (Å): 12.420 12.420 12.420
angles (deg): 160.48 160.27 27.90
Fractional coordinates of all 11 atoms:
Si: 0.450 0.450 0.000
Si: 0.550 0.550 0.000
Pr: 0.151 0.651 0.500
Pr: 0.849 0.349 0.500
Cu: 0.405 0.905 0.500
Cu: 0.750 0.750 0.000
Cu: 0.595 0.095 0.500
Cu: 0.250 0.250 0.000
La: 0.000 0.000 0.000
Ge: 0.305 0.805 0.500
Ge: 0.695 0.195 0.500

no.,ρ (Mg/m³)
1,7.97
2,4.93
3,14.97
4,8.07
5,5.82
6,10.85
7,6.61
8,6.74